Record 1
Pr2AlCo2 after structural relaxation, computed with PBEsol.

raw total energy	-6.21	eV/atom
energy of formation from the pure elements	-0.2272	eV/atom
N(E_F)	0.8025	states/eV per atom
SG	C2/c (15)

Lattice parameters (Å, degrees): 5.496 5.496 7.531 78.39 78.39 61.03
Sites, in units of the cell vectors:
Pr 0.789 0.502 0.853
Pr 0.502 0.789 0.353
Pr 0.498 0.211 0.647
Pr 0.211 0.498 0.147
Co 0.001 0.285 0.495
Co 0.285 0.001 0.995
Co 0.715 0.999 0.005
Co 0.999 0.715 0.505
Al 0.882 0.118 0.250
Al 0.118 0.882 0.750

---

Record 2
Pr2Al3Co14 after structural relaxation, computed with PBEsol.

raw total energy	-7.02	eV/atom
energy of formation from the pure elements	-0.1281	eV/atom
N(E_F)	1.1711	states/eV per atom
SG	R-3m (166)

Lattice parameters (Å, degrees): 6.296 6.296 6.296 82.62 82.62 82.62
Each line ends with the local moment (μB).
Sites, in units of the cell vectors:
Co 0.161 0.655 0.655  1.20
Co 0.715 0.000 0.285  1.17
Co 0.839 0.345 0.345  1.17
Co 0.715 0.285 0.000  -0.04
Co 0.285 0.715 0.000  1.17
Co 0.655 0.655 0.161  1.20
Co 0.345 0.839 0.345  1.17
Co 0.655 0.161 0.655  1.20
Co 0.345 0.345 0.839  1.17
Co 0.092 0.092 0.092  1.20
Co 0.000 0.285 0.715  1.17
Co 0.908 0.908 0.908  1.20
Co 0.000 0.715 0.285  -0.04
Co 0.285 0.000 0.715  -0.04
Pr 0.344 0.344 0.344  -0.17
Pr 0.656 0.656 0.656  -0.17
Al 0.500 0.000 0.000  1.38
Al 0.000 0.000 0.500  1.38
Al 0.000 0.500 0.000  1.20

---

Record 3
AlCo4Pt after structural relaxation, computed with PBEsol.

raw total energy	-7.10	eV/atom
energy of formation from the pure elements	-0.0961	eV/atom
N(E_F)	1.3427	states/eV per atom
SG	F-43m (216)

Lattice parameters (Å, degrees): 4.648 4.648 4.648 60.00 60.00 60.00
Each line ends with the local moment (μB).
Sites, in units of the cell vectors:
Pt 0.750 0.750 0.750  0.19
Co 0.375 0.875 0.375  1.51
Co 0.375 0.375 0.875  1.51
Co 0.375 0.375 0.375  1.51
Co 0.875 0.375 0.375  1.51
Al 0.000 0.000 0.000  -0.03

---

Record 4
Al2CoPt after structural relaxation, computed with PBEsol.

raw total energy	-6.22	eV/atom
energy of formation from the pure elements	-0.4975	eV/atom
N(E_F)	0.4794	states/eV per atom
SG	R-3m (166)

Lattice parameters (Å, degrees): 2.799 2.799 8.055 79.99 79.99 60.00
Each line ends with the local moment (μB).
Sites, in units of the cell vectors:
Pt 0.000 0.000 0.000  0.01
Al 0.756 0.756 0.732  -0.01
Al 0.244 0.244 0.268  -0.01
Co 0.500 0.500 0.500  0.66

---

Record 5
AlCoPt after structural relaxation, computed with PBEsol.

raw total energy	-6.47	eV/atom
energy of formation from the pure elements	-0.2026	eV/atom
N(E_F)	1.2184	states/eV per atom
SG	F-43m (216)

Lattice parameters (Å, degrees): 4.060 4.060 4.060 60.00 60.00 60.00
Each line ends with the local moment (μB).
Sites, in units of the cell vectors:
Co 0.500 0.500 0.500  1.67
Pt 0.250 0.250 0.250  0.16
Al 0.000 0.000 0.000  -0.02

---

Record 6
AlCo2Pt after structural relaxation, computed with PBEsol.

raw total energy	-6.94	eV/atom
energy of formation from the pure elements	-0.3055	eV/atom
N(E_F)	1.1373	states/eV per atom
SG	C2/m (12)

Lattice parameters (Å, degrees): 2.692 4.335 4.543 102.39 107.23 90.00
Each line ends with the local moment (μB).
Sites, in units of the cell vectors:
Pt 0.500 0.000 0.000  0.14
Co 0.746 0.741 0.493  1.40
Co 0.254 0.259 0.507  1.40
Al 0.000 0.500 0.000  -0.02

---

Record 7
Al2CoPt after structural relaxation, computed with PBEsol.

raw total energy	-6.50	eV/atom
energy of formation from the pure elements	-0.7747	eV/atom
N(E_F)	0.2919	states/eV per atom
SG	P4/mmm (123)

Lattice parameters (Å, degrees): 3.337 3.924 3.924 90.00 90.00 90.00
Sites, in units of the cell vectors:
Al 0.000 0.500 0.000
Al 0.000 0.000 0.500
Pt 0.500 0.000 0.000
Co 0.500 0.500 0.500

---

Record 8
Al2Co2Pt after structural relaxation, computed with PBEsol.

raw total energy	-6.53	eV/atom
energy of formation from the pure elements	-0.4095	eV/atom
N(E_F)	1.0471	states/eV per atom
SG	P4/mbm (127)

Lattice parameters (Å, degrees): 2.733 6.746 6.746 90.00 90.00 90.00
Each line ends with the local moment (μB).
Sites, in units of the cell vectors:
Pt 0.000 0.000 0.000  0.02
Pt 0.000 0.500 0.500  0.02
Co 0.000 0.619 0.119  0.31
Co 0.000 0.881 0.619  0.31
Co 0.000 0.381 0.881  0.31
Co 0.000 0.119 0.381  0.31
Al 0.500 0.178 0.678  -0.01
Al 0.500 0.678 0.822  -0.01
Al 0.500 0.322 0.178  -0.01
Al 0.500 0.822 0.322  -0.01